[1]
Material: HfBP2Cl
Method: DFT, PBE
State: optimized geometry

Unit cell a=5.0122 b=5.0122 c=4.9550 alpha=90.00 beta=90.00 gamma=90.00
Positions (direct):
1 Hf 0.0000 0.0000 0.0000
2 B 0.5000 0.5000 0.5000
3 P 0.0000 0.5000 0.0000
4 P 0.5000 0.0000 0.0000
5 Cl 0.0000 0.0000 0.5000

ΔE_f (raw): 78.71 kJ per mole of atoms
DOS at the Fermi energy: 0.830 states/eV per atom
Offset from the most stable computed form: 445 meV per atom
Space group: P4/mmm (123)

[2]
Material: RbZrUS4
Method: DFT, PBE
State: optimized geometry

Unit cell a=8.2230 b=8.2230 c=8.2230 alpha=121.92 beta=115.34 gamma=92.48
Positions (direct):
1 Rb 0.3986 0.1486 0.2500
2 Rb 0.6014 0.8514 0.7500
3 Zr 0.0000 0.0000 0.5000
4 Zr 0.0000 0.5000 0.0000
5 U 0.0000 0.5000 0.5000
6 U 0.5000 0.5000 0.0000
7 S 0.1826 0.7387 0.4439
8 S 0.2052 0.2613 0.9439
9 S 0.2293 0.2680 0.5387
10 S 0.2293 0.6907 0.9613
11 S 0.7707 0.3093 0.0387
12 S 0.7707 0.7320 0.4613
13 S 0.7948 0.7387 0.0561
14 S 0.8174 0.2613 0.5561

ΔE_f (raw): -130.96 kJ per mole of atoms
DOS at the Fermi energy: 0.693 states/eV per atom
Space group: Imma (74)

[3]
Material: KCu2Pd2
Method: DFT, PBE
State: optimized geometry

Unit cell a=6.0675 b=6.0675 c=6.0675 alpha=138.70 beta=138.70 gamma=59.83
Positions (direct):
1 K 0.0000 0.0000 0.0000
2 Cu 0.3830 0.3830 0.0000
3 Cu 0.6170 0.6170 0.0000
4 Pd 0.2500 0.7500 0.5000
5 Pd 0.7500 0.2500 0.5000

DOS at the Fermi energy: 0.437 states/eV per atom
Offset from the most stable computed form: 100 meV per atom
Space group: I4/mmm (139)
Formation energy: 81 kJ/mol of formula units

[4]
Material: Ti6GaSn2
Method: DFT, PBE
State: optimized geometry

Unit cell a=7.3058 b=7.3058 c=3.5715 alpha=90.00 beta=90.00 gamma=120.00
Positions (direct):
1 Ti 0.0000 0.3878 0.0000
2 Ti 0.0000 0.7516 0.5000
3 Ti 0.2484 0.2484 0.5000
4 Ti 0.3878 0.0000 0.0000
5 Ti 0.6122 0.6122 0.0000
6 Ti 0.7516 0.0000 0.5000
7 Ga 0.0000 0.0000 0.0000
8 Sn 0.3333 0.6667 0.5000
9 Sn 0.6667 0.3333 0.5000

DOS at the Fermi energy: 1.036 states/eV per atom
Space group: P-62m (189)
Formation energy: -284 kJ/mol of formula units

[5]
Material: GaBSeN2
Method: DFT, PBE
State: optimized geometry

Unit cell a=3.3033 b=3.3033 c=6.5698 alpha=90.00 beta=90.00 gamma=90.00
Positions (direct):
1 Ga 0.0000 0.0000 0.0000
2 B 0.5000 0.5000 0.5000
3 Se 0.5000 0.5000 0.0000
4 N 0.0000 0.5000 0.5000
5 N 0.5000 0.0000 0.5000

ΔE_f (raw): 101.40 kJ per mole of atoms
DOS at the Fermi energy: 0.286 states/eV per atom
Offset from the most stable computed form: 0 meV per atom
Space group: P4/mmm (123)

[6]
Material: Pr2SiPd3
Method: DFT, PBE
State: optimized geometry

Unit cell a=3.8752 b=4.3702 c=7.7806 alpha=90.00 beta=90.00 gamma=90.00
Positions (direct):
1 Pr 0.0000 0.0000 0.0000
2 Pr 0.0000 0.5000 0.4892
3 Si 0.5000 0.5000 0.8160
4 Pd 0.5000 0.0000 0.3325
5 Pd 0.5000 0.0000 0.6809
6 Pd 0.5000 0.5000 0.1269

ΔE_f (raw): -78.17 kJ per mole of atoms
DOS at the Fermi energy: 0.628 states/eV per atom
Space group: Pmm2 (25)

[7]
Material: PuPaIr
Method: DFT, PBE
State: optimized geometry

Unit cell a=5.5749 b=5.5749 c=5.5749 alpha=142.67 beta=142.67 gamma=53.82
Positions (direct):
1 Pu 0.0000 0.0000 0.0000
2 Pa 0.3182 0.3182 0.0000
3 Ir 0.6725 0.6725 0.0000

DOS at the Fermi energy: 2.185 states/eV per atom
Offset from the most stable computed form: 0 meV per atom
Space group: I4mm (107)
Formation energy: -136 kJ/mol of formula units

[8]
Material: Sm5Er3Bi8
Method: DFT, PBE
State: optimized geometry

Unit cell a=9.0340 b=9.0340 c=9.0340 alpha=60.03 beta=60.03 gamma=60.03
Positions (direct):
1 Sm 0.0000 0.0000 0.0000
2 Sm 0.0000 0.5000 0.5000
3 Sm 0.5000 0.0000 0.5000
4 Sm 0.5000 0.5000 0.0000
5 Sm 0.5000 0.5000 0.5000
6 Er 0.0000 0.0000 0.5000
7 Er 0.0000 0.5000 0.0000
8 Er 0.5000 0.0000 0.0000
9 Bi 0.2449 0.7500 0.7500
10 Bi 0.2474 0.2474 0.2474
11 Bi 0.2500 0.2500 0.7551
12 Bi 0.2500 0.7551 0.2500
13 Bi 0.7500 0.2449 0.7500
14 Bi 0.7500 0.7500 0.2449
15 Bi 0.7526 0.7526 0.7526
16 Bi 0.7551 0.2500 0.2500

DOS at the Fermi energy: 0.182 states/eV per atom
Space group: R-3m (166)
Formation energy: -1358 kJ/mol of formula units

[9]
Material: Ac4TePSe2
Method: DFT, PBE
State: optimized geometry

Unit cell a=7.7860 b=4.4987 c=7.9692 alpha=90.00 beta=109.06 gamma=90.00
Positions (direct):
1 Ac 0.2409 0.0000 0.2279
2 Ac 0.2556 0.5000 0.7735
3 Ac 0.7444 0.5000 0.2265
4 Ac 0.7591 0.0000 0.7721
5 Te 0.0000 0.0000 0.5000
6 P 0.0000 0.5000 0.0000
7 Se 0.5000 0.0000 0.0000
8 Se 0.5000 0.5000 0.5000

ΔE_f (raw): -164.20 kJ per mole of atoms
DOS at the Fermi energy: 0.496 states/eV per atom
Space group: P2/m (10)

[10]
Material: RbTc3N
Method: DFT, PBE
State: optimized geometry

Unit cell a=4.6978 b=4.6978 c=4.6978 alpha=90.00 beta=90.00 gamma=90.00
Positions (direct):
1 Rb 0.0000 0.0000 0.0000
2 Tc 0.0000 0.0000 0.5000
3 Tc 0.0000 0.5000 0.0000
4 Tc 0.5000 0.0000 0.0000
5 N 0.5000 0.5000 0.5000

ΔE_f (raw): 426.01 kJ per mole of atoms
DOS at the Fermi energy: 1.380 states/eV per atom
Offset from the most stable computed form: 3166 meV per atom
Space group: Pm-3m (221)

[11]
Material: Ac2SmZn
Method: DFT, PBE
State: optimized geometry

Unit cell a=3.9018 b=3.9018 c=9.1825 alpha=90.00 beta=90.00 gamma=90.00
Positions (direct):
1 Ac 0.0000 0.0000 0.2127
2 Ac 0.0000 0.0000 0.7873
3 Sm 0.5000 0.5000 0.5000
4 Zn 0.5000 0.5000 0.0000

DOS at the Fermi energy: 1.017 states/eV per atom
Offset from the most stable computed form: 0 meV per atom
Space group: P4/mmm (123)
Formation energy: -39 kJ/mol of formula units

[12]
Material: LaHfAsIr2
Method: DFT, PBE
State: optimized geometry

Unit cell a=4.8578 b=4.8578 c=5.4534 alpha=90.00 beta=90.00 gamma=90.00
Positions (direct):
1 La 0.0000 0.0000 0.0000
2 Hf 0.0000 0.0000 0.5000
3 As 0.5000 0.5000 0.5000
4 Ir 0.0000 0.5000 0.0000
5 Ir 0.5000 0.0000 0.0000

DOS at the Fermi energy: 1.308 states/eV per atom
Space group: P4/mmm (123)
Formation energy: 858 kJ/mol of formula units

[13]
Material: SrFe2Hg
Method: DFT, PBE
State: optimized geometry

Unit cell a=3.6396 b=3.6396 c=6.7065 alpha=90.00 beta=90.00 gamma=90.00
Positions (direct):
1 Sr 0.0000 0.0000 0.0000
2 Fe 0.5000 0.5000 0.3372
3 Fe 0.5000 0.5000 0.6628
4 Hg 0.0000 0.0000 0.5000

DOS at the Fermi energy: 1.056 states/eV per atom
Space group: P4/mmm (123)
Formation energy: 204 kJ/mol of formula units

[14]
Material: CuNiBr
Method: DFT, PBE
State: optimized geometry

Unit cell a=9.5530 b=3.7533 c=3.7533 alpha=52.08 beta=90.00 gamma=90.00
Positions (direct):
1 Cu 0.0000 0.0000 0.0000
2 Cu 0.5000 0.0307 0.0307
3 Ni 0.1285 0.3076 0.3076
4 Ni 0.8715 0.3076 0.3076
5 Br 0.3184 0.7548 0.7548
6 Br 0.6816 0.7548 0.7548

ΔE_f (raw): 30.82 kJ per mole of atoms
DOS at the Fermi energy: 0.989 states/eV per atom
Offset from the most stable computed form: 0 meV per atom
Space group: Amm2 (38)

[15]
Material: La3Tb7Pr2
Method: DFT, PBE
State: optimized geometry

Unit cell a=3.6440 b=5.8299 c=19.5590 alpha=86.87 beta=84.68 gamma=90.00
Positions (direct):
1 La 0.0000 0.0000 0.0000
2 La 0.3207 0.2751 0.3594
3 La 0.6793 0.7249 0.6406
4 Tb 0.0837 0.6921 0.8300
5 Tb 0.2297 0.2425 0.5415
6 Tb 0.4307 0.8113 0.1401
7 Tb 0.5000 0.5000 0.0000
8 Tb 0.5693 0.1887 0.8599
9 Tb 0.7703 0.7575 0.4585
10 Tb 0.9163 0.3079 0.1700
11 Pr 0.1432 0.2137 0.7121
12 Pr 0.8568 0.7863 0.2879

DOS at the Fermi energy: 1.407 states/eV per atom
Space group: P-1 (2)
Formation energy: 104 kJ/mol of formula units

[16]
Material: Nd12Cu3C5
Method: DFT, PBE
State: optimized geometry

Unit cell a=13.9116 b=13.9116 c=13.9116 alpha=109.47 beta=109.47 gamma=109.47
Positions (direct):
1 Nd 0.0255 0.2058 0.1176
2 Nd 0.0255 0.3197 0.9079
3 Nd 0.0882 0.7058 0.6803
4 Nd 0.0882 0.8824 0.4079
5 Nd 0.0921 0.6176 0.4118
6 Nd 0.0921 0.9745 0.6803
7 Nd 0.1176 0.0255 0.2058
8 Nd 0.1176 0.5921 0.9118
9 Nd 0.1803 0.2058 0.5882
10 Nd 0.1803 0.4745 0.5921
11 Nd 0.2058 0.1176 0.0255
12 Nd 0.2058 0.5882 0.1803
13 Nd 0.2942 0.3197 0.9118
14 Nd 0.2942 0.4745 0.3824
15 Nd 0.3197 0.9079 0.0255
16 Nd 0.3197 0.9118 0.2942
17 Nd 0.3824 0.2942 0.4745
18 Nd 0.3824 0.5882 0.9079
19 Nd 0.4079 0.0882 0.8824
20 Nd 0.4079 0.8197 0.5255
21 Nd 0.4118 0.0921 0.6176
22 Nd 0.4118 0.8197 0.7942
23 Nd 0.4745 0.3824 0.2942
24 Nd 0.4745 0.5921 0.1803
25 Nd 0.5255 0.4079 0.8197
26 Nd 0.5255 0.6176 0.7058
27 Nd 0.5882 0.1803 0.2058
28 Nd 0.5882 0.9079 0.3824
29 Nd 0.5921 0.1803 0.4745
30 Nd 0.5921 0.9118 0.1176
31 Nd 0.6176 0.4118 0.0921
32 Nd 0.6176 0.7058 0.5255
33 Nd 0.6803 0.0882 0.7058
34 Nd 0.6803 0.0921 0.9745
35 Nd 0.7058 0.5255 0.6176
36 Nd 0.7058 0.6803 0.0882
37 Nd 0.7942 0.4118 0.8197
38 Nd 0.7942 0.8824 0.9745
39 Nd 0.8197 0.5255 0.4079
40 Nd 0.8197 0.7942 0.4118
41 Nd 0.8824 0.4079 0.0882
42 Nd 0.8824 0.9745 0.7942
43 Nd 0.9079 0.0255 0.3197
44 Nd 0.9079 0.3824 0.5882
45 Nd 0.9118 0.1176 0.5921
46 Nd 0.9118 0.2942 0.3197
47 Nd 0.9745 0.6803 0.0921
48 Nd 0.9745 0.7942 0.8824
49 Cu 0.1250 0.2500 0.3750
50 Cu 0.1250 0.3750 0.7500
51 Cu 0.2500 0.3750 0.1250
52 Cu 0.2500 0.8750 0.6250
53 Cu 0.3750 0.1250 0.2500
54 Cu 0.3750 0.7500 0.1250
55 Cu 0.6250 0.2500 0.8750
56 Cu 0.6250 0.8750 0.7500
57 Cu 0.7500 0.1250 0.3750
58 Cu 0.7500 0.6250 0.8750
59 Cu 0.8750 0.6250 0.2500
60 Cu 0.8750 0.7500 0.6250
61 C 0.0000 0.0000 0.0000
62 C 0.0000 0.0000 0.5000
63 C 0.0000 0.5000 0.0000
64 C 0.0000 0.5000 0.5000
65 C 0.1250 0.7500 0.8750
66 C 0.1250 0.8750 0.2500
67 C 0.2500 0.1250 0.8750
68 C 0.2500 0.6250 0.3750
69 C 0.3750 0.2500 0.6250
70 C 0.3750 0.6250 0.7500
71 C 0.5000 0.0000 0.0000
72 C 0.5000 0.0000 0.5000
73 C 0.5000 0.5000 0.0000
74 C 0.5000 0.5000 0.5000
75 C 0.6250 0.3750 0.2500
76 C 0.6250 0.7500 0.3750
77 C 0.7500 0.3750 0.6250
78 C 0.7500 0.8750 0.1250
79 C 0.8750 0.1250 0.7500
80 C 0.8750 0.2500 0.1250

DOS at the Fermi energy: 1.009 states/eV per atom
Space group: Ia-3d (230)
Formation energy: 193 kJ/mol of formula units

[17]
Material: MgCuBi
Method: DFT, PBE
State: optimized geometry

Unit cell a=5.0413 b=4.2756 c=6.3737 alpha=90.00 beta=95.28 gamma=90.00
Positions (direct):
1 Mg 0.1662 0.2500 0.1969
2 Mg 0.8338 0.7500 0.8031
3 Cu 0.3580 0.7500 0.9651
4 Cu 0.6420 0.2500 0.0349
5 Bi 0.2658 0.2500 0.6935
6 Bi 0.7342 0.7500 0.3065

DOS at the Fermi energy: 0.302 states/eV per atom
Space group: P2_1/m (11)
Formation energy: -7 kJ/mol of formula units

[18]
Material: TaCo2C2
Method: DFT, PBE
State: optimized geometry

Unit cell a=4.7356 b=4.7356 c=4.7356 alpha=138.68 beta=138.68 gamma=59.86
Positions (direct):
1 Ta 0.0000 0.0000 0.0000
2 Co 0.2500 0.7500 0.5000
3 Co 0.7500 0.2500 0.5000
4 C 0.4050 0.4050 0.0000
5 C 0.5950 0.5950 0.0000

DOS at the Fermi energy: 0.607 states/eV per atom
Offset from the most stable computed form: 0 meV per atom
Space group: I4/mmm (139)
Formation energy: 78 kJ/mol of formula units

[19]
Material: InAg2Se
Method: DFT, PBE
State: optimized geometry

Unit cell a=3.8227 b=3.8227 c=5.7633 alpha=90.00 beta=90.00 gamma=90.00
Positions (direct):
1 In 0.0000 0.0000 0.0000
2 Ag 0.0000 0.0000 0.5127
3 Ag 0.5000 0.5000 0.7182
4 Se 0.5000 0.5000 0.2295

ΔE_f (raw): -0.54 kJ per mole of atoms
DOS at the Fermi energy: 0.404 states/eV per atom
Space group: P4mm (99)

[20]
Material: SmZrAgPb
Method: DFT, PBE
State: optimized geometry

Unit cell a=5.1834 b=5.1834 c=5.1834 alpha=60.00 beta=60.00 gamma=60.00
Positions (direct):
1 Sm 0.0000 0.0000 0.0000
2 Zr 0.5000 0.5000 0.5000
3 Ag 0.2500 0.2500 0.2500
4 Pb 0.7500 0.7500 0.7500

DOS at the Fermi energy: 0.587 states/eV per atom
Space group: F-43m (216)
Formation energy: -71 kJ/mol of formula units

no.,total magnetic moment (μB per atom),density (Mg/m³)
1,0.0000,3.824
2,0.4120,4.516
3,0.0000,6.535
4,0.0000,5.978
5,0.0001,4.343
6,0.0000,7.929
7,1.8557,17.507
8,0.0000,9.312
9,0.0000,7.707
10,0.4782,6.302
11,0.0000,7.956
12,0.0000,10.023
13,1.3212,7.475
14,0.2475,6.324
15,0.0000,7.280
16,0.0000,6.351
17,0.0000,7.206
18,0.0000,11.700
19,0.0000,8.075
20,0.0000,9.386